No. 1
## Ba2TeRu (PBE-GGA)

Data for an optimized crystal structure of Ba2TeRu.

Cell lengths 7.3461, 7.3461, 7.3461 Å; angles 148.58, 138.66, 52.83 degrees
Last column: nearest neighbours and their distance in Å.
Element x y z (fractional)
Ba: 0.0000 0.0000 0.0000  4 Te 3.51, 2 Ba 3.93
Ba: 0.7242 0.2242 0.5000  4 Ru 3.33, 2 Te 3.50
Te: 0.4024 0.4024 0.0000  2 Ru 2.64
Ru: 0.2710 0.7710 0.5000  2 Te 2.64

ρ: 6.16 g/cm3
SG: Imm2, No. 44
energy relative to the elements, uncorrected: -272 meV/atom
V: 136 Å³ per cell
N(E_F): 0.882 states/eV/atom

---

No. 2
## Rb2Bi3O8 (PBE-GGA)

Data for an optimized crystal structure of Rb2Bi3O8.

Cell lengths 7.7643, 7.7643, 5.7767 Å; angles 107.11, 107.11, 52.88 degrees
Last column: nearest neighbours and their distance in Å.
Element x y z (fractional)
Rb: 0.2213 0.2213 0.1661  6 O 2.83-3.16
Rb: 0.7787 0.7787 0.8339  6 O 2.83-3.16
Bi: 0.2378 0.7622 0.5000  6 O 2.17-2.35
Bi: 0.5000 0.5000 0.0000  6 O 2.15-2.22
Bi: 0.7622 0.2378 0.5000  6 O 2.17-2.35
O: 0.0983 0.0983 0.4793  2 Bi 2.17
O: 0.1982 0.6295 0.1155  2 Bi 2.15-2.17
O: 0.3705 0.8018 0.8845  2 Bi 2.15-2.17
O: 0.4137 0.4137 0.6006  3 Bi 2.22-2.35
O: 0.5863 0.5863 0.3994  3 Bi 2.22-2.35
O: 0.6295 0.1982 0.1155  2 Bi 2.15-2.17
O: 0.8018 0.3705 0.8845  2 Bi 2.15-2.17
O: 0.9017 0.9017 0.5207  2 Bi 2.17

ρ: 5.86 g/cm3
SG: C2/m, No. 12
energy relative to the elements, uncorrected: -1092 meV/atom
V: 262 Å³ per cell
N(E_F): 0.165 states/eV/atom

---

No. 3
## Dy3Pb2Au2 (PBE-GGA)

Data for an optimized crystal structure of Dy3Pb2Au2.

Cell lengths 11.4525, 11.4525, 3.5017 Å; angles 90.00, 90.00, 157.03 degrees
Last column: nearest neighbours and their distance in Å.
Element x y z (fractional)
Dy: 0.0000 0.0000 0.0000  8 Pb 3.39, 2 Dy 3.50
Dy: 0.1722 0.8278 0.0000  6 Au 3.02-3.12
Dy: 0.8278 0.1722 0.0000  6 Au 3.02-3.12
Pb: 0.4200 0.5800 0.5000  1 Au 2.98
Pb: 0.5800 0.4200 0.5000  1 Au 2.98
Au: 0.2874 0.7126 0.5000  2 Au 2.83, 1 Pb 2.98, 6 Dy 3.02-3.12
Au: 0.7126 0.2874 0.5000  2 Au 2.83, 1 Pb 2.98, 6 Dy 3.02-3.12

ρ: 12.00 g/cm3
SG: Cmmm, No. 65
formation energy: -4.543 eV per formula unit
V: 179 Å³ per cell
N(E_F): 0.555 states/eV/atom

---

No. 4
## Ta2NbSe6 (PBE-GGA)

Data for an optimized crystal structure of Ta2NbSe6.

Cell lengths 8.8385, 8.8385, 7.8317 Å; angles 112.41, 112.41, 22.76 degrees
Last column: nearest neighbours and their distance in Å.
Element x y z (fractional)
Ta: 0.1520 0.1520 0.3043  6 Se 2.52-2.73
Ta: 0.8480 0.8480 0.6957  6 Se 2.52-2.73
Nb: 0.5000 0.5000 0.0000  6 Se 2.65-2.67
Se: 0.0010 0.0010 0.7465  1 Ta 2.52, 2 Nb 2.65
Se: 0.3230 0.3230 0.4297  3 Ta 2.62-2.73
Se: 0.3363 0.3363 0.9275  2 Ta 2.58, 1 Nb 2.67
Se: 0.6637 0.6637 0.0725  2 Ta 2.58, 1 Nb 2.67
Se: 0.6770 0.6770 0.5703  3 Ta 2.62-2.73
Se: 0.9990 0.9990 0.2535  1 Ta 2.52, 2 Nb 2.65

ρ: 7.07 g/cm3
SG: C2/m, No. 12
energy relative to the elements, uncorrected: -822 meV/atom
polymorph energy (0 for the lowest one): 0 meV per atom
V: 218 Å³ per cell
N(E_F): 0.529 states/eV/atom

---

No. 5
## Y2RuPb (PBE-GGA)

Data for an optimized crystal structure of Y2RuPb.

Cell lengths 5.4475, 5.4475, 5.3620 Å; angles 119.41, 119.41, 46.06 degrees
Last column: nearest neighbours and their distance in Å.
Element x y z (fractional)
Y: 0.2122 0.2122 0.2120  2 Ru 2.79
Y: 0.7878 0.7878 0.7880  2 Ru 2.79
Ru: 0.5000 0.5000 0.0000  4 Y 2.79
Pb: 0.0000 0.0000 0.5000  8 Y 3.23-3.24, 4 Ru 3.42

ρ: 8.33 g/cm3
SG: C2/m, No. 12
formation energy: -1.147 eV per formula unit
V: 97 Å³ per cell
N(E_F): 0.400 states/eV/atom

---

No. 6
## Pm2Dy2S3 (PBE-GGA)

Data for an optimized crystal structure of Pm2Dy2S3.

Cell lengths 3.8987, 6.7796, 6.8612 Å; angles 99.07, 90.01, 106.67 degrees
Last column: nearest neighbours and their distance in Å.
Element x y z (fractional)
Pm: 0.1259 0.2496 0.3802  4 S 2.81-2.84
Pm: 0.8741 0.7504 0.6198  4 S 2.81-2.84
Dy: 0.3723 0.7450 0.1165  5 S 2.69-2.76
Dy: 0.6277 0.2550 0.8835  5 S 2.69-2.76
S: 0.0000 0.0000 0.0000  4 Dy 2.76, 2 Pm 2.84
S: 0.2496 0.4992 0.7594  3 Dy 2.69-2.74, 3 Pm 2.81-2.83
S: 0.7504 0.5008 0.2406  3 Dy 2.69-2.74, 3 Pm 2.81-2.83

ρ: 6.89 g/cm3
SG: P-1, No. 2
energy relative to the elements, uncorrected: -1723 meV/atom
V: 171 Å³ per cell
N(E_F): 0.478 states/eV/atom

---

No. 7
## PPbSCl2 (PBE-GGA)

Data for an optimized crystal structure of PPbSCl2.

Cell lengths 5.8471, 5.8471, 4.2758 Å; angles 90.00, 90.00, 90.00 degrees
Last column: nearest neighbours and their distance in Å.
Element x y z (fractional)
P: 0.0000 0.0000 0.0000  2 S 2.14
Pb: 0.5000 0.5000 0.0000  8 Cl 3.62
S: 0.0000 0.0000 0.5000  2 P 2.14
Cl: 0.0000 0.5000 0.5000  2 S 2.92
Cl: 0.5000 0.0000 0.5000  2 S 2.92

ρ: 3.88 g/cm3
SG: P4/mmm, No. 123
energy relative to the elements, uncorrected: 267 meV/atom
polymorph energy (0 for the lowest one): 376 meV per atom
V: 146 Å³ per cell
N(E_F): 0.734 states/eV/atom

---

No. 8
## Ce2Cu3Ge4Ir (PBE-GGA)

Data for an optimized crystal structure of Ce2Cu3Ge4Ir.

Cell lengths 4.2332, 4.2332, 9.9742 Å; angles 90.00, 90.00, 90.00 degrees
Last column: nearest neighbours and their distance in Å.
Element x y z (fractional)
Ce: 0.0000 0.5000 0.2490  8 Ge 3.21-3.28, 6 Cu 3.24-3.26, 2 Ir 3.26
Ce: 0.5000 0.0000 0.7510  8 Ge 3.21-3.28, 6 Cu 3.24-3.26, 2 Ir 3.26
Cu: 0.0000 0.0000 0.0000  4 Ge 2.50
Cu: 0.0000 0.5000 0.6274  5 Ge 2.38-2.47
Cu: 0.5000 0.0000 0.3726  5 Ge 2.38-2.47
Ge: 0.0000 0.0000 0.5000  4 Cu 2.47
Ge: 0.0000 0.5000 0.8665  3 Cu 2.38-2.50, 2 Ir 2.50
Ge: 0.5000 0.0000 0.1335  3 Cu 2.38-2.50, 2 Ir 2.50
Ge: 0.5000 0.5000 0.5000  4 Cu 2.47
Ir: 0.5000 0.5000 0.0000  4 Ge 2.50

ρ: 8.86 g/cm3
SG: P-4m2, No. 115
formation energy: -5.204 eV per formula unit
V: 179 Å³ per cell
N(E_F): 1.122 states/eV/atom